# 1
Compound: HfMo2Pd
Source: OQMD via LeMat-Bulk
Functional: GGA-PBE
Structure: relaxed

a = 4.5646 Å, b = 4.5646 Å, c = 4.5646 Å
α = 60.00°, β = 60.00°, γ = 60.00°
With the nearest neighbours (Å) after each atom.
Fractional positions:
Hf 0.2500 0.2500 0.2500  4 Pd 2.80, 4 Mo 2.80
Mo 0.7500 0.7500 0.7500  4 Mo 2.80, 4 Pd 2.80
Mo 0.0000 0.0000 0.0000  4 Mo 2.80, 4 Hf 2.80
Pd 0.5000 0.5000 0.5000  4 Hf 2.80, 4 Mo 2.80

Calculated values
The calculation puts the formation energy at -0.085 eV per atom.


# 2
Compound: HfMoPt2
Source: OQMD via LeMat-Bulk
Functional: GGA-PBE
Structure: relaxed

a = 4.5500 Å, b = 4.5500 Å, c = 4.5500 Å
α = 60.00°, β = 60.00°, γ = 60.00°
With the nearest neighbours (Å) after each atom.
Fractional positions:
Mo 0.0000 0.0000 0.0000  4 Pt 2.79, 4 Hf 2.79
Pt 0.5000 0.5000 0.5000  4 Hf 2.79, 4 Pt 2.79
Pt 0.7500 0.7500 0.7500  4 Mo 2.79, 4 Pt 2.79
Hf 0.2500 0.2500 0.2500  4 Pt 2.79, 4 Mo 2.79

Calculated values
The calculation puts the formation energy at -0.347 eV per atom.


# 3
Compound: HfMo2Pt
Source: OQMD via LeMat-Bulk
Functional: GGA-PBE
Structure: relaxed

a = 4.5663 Å, b = 4.5663 Å, c = 4.5663 Å
α = 60.00°, β = 60.00°, γ = 60.00°
With the nearest neighbours (Å) after each atom.
Fractional positions:
Pt 0.7500 0.7500 0.7500  4 Hf 2.80, 4 Mo 2.80
Mo 0.0000 0.0000 0.0000  4 Mo 2.80, 4 Pt 2.80
Mo 0.2500 0.2500 0.2500  4 Mo 2.80, 4 Hf 2.80
Hf 0.5000 0.5000 0.5000  4 Mo 2.80, 4 Pt 2.80

Calculated values
The calculation puts the formation energy at -0.219 eV per atom.


# 4
Compound: PuHfMo
Source: OQMD via LeMat-Bulk
Functional: GGA-PBE
Structure: relaxed

a = 4.5453 Å, b = 4.5453 Å, c = 4.5453 Å
α = 60.00°, β = 60.00°, γ = 60.00°
With the nearest neighbours (Å) after each atom.
Fractional positions:
Pu 0.7500 0.7500 0.7500  4 Mo 2.78
Mo 0.0000 0.0000 0.0000  4 Pu 2.78, 4 Hf 2.78
Hf 0.2500 0.2500 0.2500  4 Mo 2.78

Calculated values
The calculation puts the formation energy at 0.462 eV per atom.


# 5
Compound: HfReMo2
Source: OQMD via LeMat-Bulk
Functional: GGA-PBE
Structure: relaxed

a = 4.5366 Å, b = 4.5366 Å, c = 4.5366 Å
α = 60.00°, β = 60.00°, γ = 60.00°
With the nearest neighbours (Å) after each atom.
Fractional positions:
Mo 0.0000 0.0000 0.0000  4 Mo 2.78, 4 Hf 2.78
Mo 0.7500 0.7500 0.7500  4 Mo 2.78, 4 Re 2.78
Hf 0.2500 0.2500 0.2500  4 Re 2.78, 4 Mo 2.78
Re 0.5000 0.5000 0.5000  4 Hf 2.78, 4 Mo 2.78

Calculated values
The calculation puts the formation energy at -0.141 eV per atom.


# 6
Compound: HfRe2Mo
Source: OQMD via LeMat-Bulk
Functional: GGA-PBE
Structure: relaxed

a = 4.5033 Å, b = 4.5033 Å, c = 4.5033 Å
α = 60.00°, β = 60.00°, γ = 60.00°
With the nearest neighbours (Å) after each atom.
Fractional positions:
Re 0.7500 0.7500 0.7500  4 Mo 2.76, 4 Re 2.76
Re 0.0000 0.0000 0.0000  4 Re 2.76, 4 Hf 2.76
Mo 0.5000 0.5000 0.5000  4 Re 2.76, 4 Hf 2.76
Hf 0.2500 0.2500 0.2500  4 Mo 2.76, 4 Re 2.76

Calculated values
The calculation puts the formation energy at -0.125 eV per atom.


# 7
Compound: Hf2Re2Mo
Source: OQMD via LeMat-Bulk
Functional: GGA-PBE
Structure: relaxed

a = 7.8226 Å, b = 7.8226 Å, c = 7.8226 Å
α = 153.90°, β = 153.90°, γ = 37.25°
With the nearest neighbours (Å) after each atom.
Fractional positions:
Hf 0.4025 0.4025 0.0000  4 Re 2.87, 4 Mo 2.89, 1 Hf 2.89
Hf 0.5975 0.5975 0.0000  4 Re 2.87, 4 Mo 2.89, 1 Hf 2.89
Re 0.7500 0.2500 0.5000  4 Re 2.50
Re 0.2500 0.7500 0.5000  4 Re 2.50
Mo 0.0000 0.0000 0.0000  8 Hf 2.89

Calculated values
The calculation puts the formation energy at 0.476 eV per atom.


# 8
Compound: HfMoS4
Source: OQMD via LeMat-Bulk
Functional: GGA-PBE
Structure: relaxed

a = 3.3580 Å, b = 3.3580 Å, c = 12.6862 Å
α = 90.00°, β = 90.00°, γ = 120.00°
With the nearest neighbours (Å) after each atom.
Fractional positions:
S 0.3333 0.6667 0.1190  3 Mo 2.46
S 0.3333 0.6667 0.8810  3 Mo 2.46
S 0.6667 0.3333 0.3729  3 Hf 2.52
S 0.6667 0.3333 0.6271  3 Hf 2.52
Mo 0.0000 0.0000 0.0000  6 S 2.46
Hf 0.0000 0.0000 0.5000  6 S 2.52

Calculated values
For the electronic total energy, the calculation gives -7.256 eV per atom.


# 9
Compound: Hf9Mo4S
Source: OQMD via LeMat-Bulk
Functional: GGA-PBE
Structure: relaxed

a = 8.6747 Å, b = 8.6747 Å, c = 8.5298 Å
α = 90.00°, β = 90.00°, γ = 120.01°
With the nearest neighbours (Å) after each atom.
Fractional positions:
Hf 0.8942 0.6971 0.5500  1 S 2.66, 1 Mo 2.87
Hf 0.4140 0.9570 0.2500  2 Mo 2.90, 1 S 3.15, 6 Hf 3.22
Hf 0.6971 0.3029 0.0500  1 S 2.66, 1 Mo 2.87
Hf 0.6971 0.8942 0.4500  1 S 2.66, 1 Mo 2.87
Hf 0.9570 0.4140 0.7500  2 Mo 2.90, 1 S 3.15, 6 Hf 3.22
Hf 0.9570 0.0430 0.7500  2 Mo 2.90, 1 S 3.15, 6 Hf 3.22
Hf 0.0430 0.9570 0.2500  2 Mo 2.90, 1 S 3.15, 6 Hf 3.22
Hf 0.1058 0.3029 0.0500  1 S 2.66, 1 Mo 2.87
Hf 0.8942 0.6971 0.9500  1 S 2.66, 1 Mo 2.87
Hf 0.6971 0.3029 0.4500  1 S 2.66, 1 Mo 2.87
Hf 0.5860 0.0430 0.7500  2 Mo 2.90, 1 S 3.15, 6 Hf 3.22
Hf 0.6971 0.8942 0.0500  1 S 2.66, 1 Mo 2.87
Hf 0.3029 0.6971 0.5500  1 S 2.66, 1 Mo 2.87
Hf 0.3029 0.6971 0.9500  1 S 2.66, 1 Mo 2.87
Hf 0.3029 0.1058 0.9500  1 S 2.66, 1 Mo 2.87
Hf 0.1058 0.3029 0.4500  1 S 2.66, 1 Mo 2.87
Hf 0.3029 0.1058 0.5500  1 S 2.66, 1 Mo 2.87
Hf 0.0430 0.5860 0.2500  2 Mo 2.90, 1 S 3.15, 6 Hf 3.22
Mo 0.3891 0.6109 0.2500  4 Mo 2.71-2.89, 4 Hf 2.87-2.90
Mo 0.6109 0.3891 0.7500  4 Mo 2.71-2.89, 4 Hf 2.87-2.90
Mo 0.5000 0.5000 0.5000  6 Mo 2.71, 6 Hf 2.99
Mo 0.7218 0.6109 0.2500  4 Mo 2.71-2.89, 4 Hf 2.87-2.90
Mo 0.3891 0.2782 0.2500  4 Mo 2.71-2.89, 4 Hf 2.87-2.90
Mo 0.2782 0.3891 0.7500  4 Mo 2.71-2.89, 4 Hf 2.87-2.90
Mo 0.6109 0.7218 0.7500  4 Mo 2.71-2.89, 4 Hf 2.87-2.90
Mo 0.5000 0.5000 0.0000  6 Mo 2.71, 6 Hf 2.99
S 0.8333 0.1667 0.2500  6 Hf 2.66
S 0.1667 0.8333 0.7500  6 Hf 2.66

Calculated values
For the electronic total energy, the calculation gives -10.089 eV per atom.


# 10
Compound: Hf6Sb2Mo
Source: OQMD via LeMat-Bulk
Functional: GGA-PBE
Structure: relaxed

a = 7.8075 Å, b = 7.8075 Å, c = 3.6560 Å
α = 90.00°, β = 90.00°, γ = 120.00°
With the nearest neighbours (Å) after each atom.
Fractional positions:
Hf 0.2504 0.0000 0.5000  2 Mo 2.68, 2 Sb 2.98
Hf 0.6034 0.0000 0.0000  4 Sb 3.01, 1 Mo 3.10, 6 Hf 3.27-3.31
Hf 0.0000 0.2504 0.5000  2 Mo 2.68, 2 Sb 2.98
Hf 0.3966 0.3966 0.0000  4 Sb 3.01, 1 Mo 3.10, 6 Hf 3.27-3.31
Hf 0.0000 0.6034 0.0000  4 Sb 3.01, 1 Mo 3.10, 6 Hf 3.27-3.31
Hf 0.7496 0.7496 0.5000  2 Mo 2.68, 2 Sb 2.98
Mo 0.0000 0.0000 0.0000  6 Hf 2.68
Sb 0.3333 0.6667 0.5000  9 Hf 2.98-3.01
Sb 0.6667 0.3333 0.5000  9 Hf 2.98-3.01

Calculated values
For the electronic total energy, the calculation gives -9.086 eV per atom.


# 11
Compound: HfSb2Mo
Source: OQMD via LeMat-Bulk
Functional: GGA-PBE
Structure: relaxed

a = 4.9011 Å, b = 4.9011 Å, c = 4.9011 Å
α = 60.00°, β = 60.00°, γ = 60.00°
With the nearest neighbours (Å) after each atom.
Fractional positions:
Mo 0.5000 0.5000 0.5000  4 Sb 3.00, 4 Hf 3.00
Sb 0.0000 0.0000 0.0000  4 Sb 3.00, 4 Hf 3.00
Sb 0.7500 0.7500 0.7500  4 Mo 3.00, 4 Sb 3.00
Hf 0.2500 0.2500 0.2500  4 Mo 3.00, 4 Sb 3.00

Calculated values
For the electronic total energy, the calculation gives -7.042 eV per atom.


# 12
Compound: Hf2SbMo
Source: OQMD via LeMat-Bulk
Functional: GGA-PBE
Structure: relaxed

a = 4.7933 Å, b = 4.7933 Å, c = 4.7933 Å
α = 60.00°, β = 60.00°, γ = 60.00°
With the nearest neighbours (Å) after each atom.
Fractional positions:
Hf 0.0000 0.0000 0.0000  4 Hf 2.94, 4 Mo 2.94
Hf 0.7500 0.7500 0.7500  4 Hf 2.94, 4 Sb 2.94
Sb 0.5000 0.5000 0.5000  4 Mo 2.94, 4 Hf 2.94
Mo 0.2500 0.2500 0.2500  4 Sb 2.94, 4 Hf 2.94

Calculated values
For the electronic total energy, the calculation gives -8.681 eV per atom.